Entry 1:
DFT (GGA-PBE) results for a relaxed LiW4Br crystal.

Lattice parameters (Å, degrees): 5.381 5.381 5.381 60.00 60.00 60.00
Positions (direct):
Li 0.000 0.000 0.000
W 0.121 0.626 0.626
W 0.626 0.121 0.626
W 0.626 0.626 0.121
W 0.626 0.626 0.626
Br 0.250 0.250 0.250

Calculated values
- E_form (uncorrected) (eV per atom) = 1.12
- symmetry = F-43m
- calculated total energy (eV per atom) = -8.11



Entry 2:
DFT (GGA-PBE) results for a relaxed LiWBr2 crystal.

Lattice parameters (Å, degrees): 3.377 5.136 9.823 90.00 90.00 90.00
Positions (direct):
Li 0.000 0.000 0.000
Li 0.500 0.500 0.000
W 0.000 0.500 0.255
W 0.500 0.000 0.255
Br 0.000 0.000 0.456
Br 0.000 0.500 0.825
Br 0.500 0.000 0.825
Br 0.500 0.500 0.456

Calculated values
- energy relative to the lowest polymorph listed for this composition (meV per atom) = 257
- E_form (uncorrected) (eV per atom) = 0.30
- symmetry = Cmm2
- calculated total energy (eV per atom) = -4.26



Entry 3:
DFT (GGA-PBE) results for a relaxed Li2WBr crystal.

Lattice parameters (Å, degrees): 4.738 2.944 5.004 90.00 110.06 90.00
Positions (direct):
Li 0.000 0.000 0.000
Li 0.500 0.500 0.000
W 0.000 0.500 0.500
Br 0.500 0.000 0.500

Calculated values
- energy relative to the lowest polymorph listed for this composition (meV per atom) = 480
- E_form (uncorrected) (eV per atom) = 0.62
- symmetry = P2/m
- calculated total energy (eV per atom) = -4.00



Entry 4:
DFT (GGA-PBE) results for a relaxed Li2WBr crystal.

Lattice parameters (Å, degrees): 2.957 4.691 9.429 90.00 90.00 90.00
Positions (direct):
Li 0.000 0.000 0.228
Li 0.000 0.000 0.772
Li 0.500 0.500 0.272
Li 0.500 0.500 0.728
W 0.000 0.500 0.000
W 0.500 0.000 0.500
Br 0.000 0.500 0.500
Br 0.500 0.000 0.000

Calculated values
- energy relative to the lowest polymorph listed for this composition (meV per atom) = 462
- E_form (uncorrected) (eV per atom) = 0.60
- symmetry = Immm
- calculated total energy (eV per atom) = -4.02



Entry 5:
DFT (GGA-PBE) results for a relaxed LiW2Br crystal.

Lattice parameters (Å, degrees): 3.256 5.098 8.734 90.00 90.00 90.00
Positions (direct):
Li 0.000 0.000 0.000
Li 0.500 0.500 0.000
W 0.000 0.000 0.493
W 0.000 0.500 0.276
W 0.500 0.000 0.276
W 0.500 0.500 0.493
Br 0.000 0.500 0.788
Br 0.500 0.000 0.788

Calculated values
- energy relative to the lowest polymorph listed for this composition (meV per atom) = 152
- E_form (uncorrected) (eV per atom) = 0.38
- symmetry = Cmm2
- calculated total energy (eV per atom) = -7.00



Entry 6:
DFT (GGA-PBE) results for a relaxed LiWBr4 crystal.

Lattice parameters (Å, degrees): 6.321 6.321 6.321 60.00 60.00 60.00
Positions (direct):
Li 0.000 0.000 0.000
W 0.750 0.750 0.750
Br 0.376 0.376 0.376
Br 0.376 0.376 0.873
Br 0.376 0.873 0.376
Br 0.873 0.376 0.376

Calculated values
- energy relative to the lowest polymorph listed for this composition (meV per atom) = 1812
- E_form (uncorrected) (eV per atom) = 1.14
- symmetry = F-43m
- calculated total energy (eV per atom) = -2.45



Entry 7:
DFT (GGA-PBE) results for a relaxed LiW2Br crystal.

Lattice parameters (Å, degrees): 3.334 3.314 6.996 90.00 103.67 90.00
Positions (direct):
Li 0.000 0.000 0.000
W 0.368 0.500 0.732
W 0.787 0.000 0.570
Br 0.572 0.500 0.144

Calculated values
- energy relative to the lowest polymorph listed for this composition (meV per atom) = 0
- E_form (uncorrected) (eV per atom) = 0.22
- symmetry = Pm
- calculated total energy (eV per atom) = -7.15



Entry 8:
DFT (GGA-PBE) results for a relaxed LiWBr2 crystal.

Lattice parameters (Å, degrees): 8.900 3.162 6.052 90.00 99.82 90.00
Positions (direct):
Li 0.000 0.000 0.000
Li 0.500 0.500 0.000
W 0.249 0.000 0.739
W 0.749 0.500 0.739
Br 0.009 0.500 0.614
Br 0.235 0.500 0.105
Br 0.509 0.000 0.614
Br 0.735 0.000 0.105

Calculated values
- energy relative to the lowest polymorph listed for this composition (meV per atom) = 322
- E_form (uncorrected) (eV per atom) = 0.36
- symmetry = Cm
- calculated total energy (eV per atom) = -4.19



Entry 9:
DFT (GGA-PBE) results for a relaxed LiW2Br crystal.

Lattice parameters (Å, degrees): 3.638 3.638 22.748 90.00 90.00 90.00
Positions (direct):
Li 0.000 0.000 0.000
Li 0.000 0.500 0.250
Li 0.500 0.000 0.750
Li 0.500 0.500 0.500
W 0.240 0.250 0.125
W 0.250 0.740 0.375
W 0.250 0.760 0.875
W 0.260 0.250 0.625
W 0.740 0.750 0.625
W 0.750 0.240 0.875
W 0.750 0.260 0.375
W 0.760 0.750 0.125
Br 0.000 0.000 0.500
Br 0.000 0.500 0.750
Br 0.500 0.000 0.250
Br 0.500 0.500 0.000

Calculated values
- energy relative to the lowest polymorph listed for this composition (meV per atom) = 557
- E_form (uncorrected) (eV per atom) = 0.78
- symmetry = I-42d
- calculated total energy (eV per atom) = -6.59



Entry 10:
DFT (GGA-PBE) results for a relaxed Li2WBr crystal.

Lattice parameters (Å, degrees): 7.074 7.074 7.074 90.00 90.00 90.00
Positions (direct):
Li 0.250 0.250 0.250
Li 0.250 0.250 0.750
Li 0.250 0.750 0.250
Li 0.250 0.750 0.750
Li 0.750 0.250 0.250
Li 0.750 0.250 0.750
Li 0.750 0.750 0.250
Li 0.750 0.750 0.750
W 0.000 0.000 0.000
W 0.000 0.500 0.500
W 0.500 0.000 0.500
W 0.500 0.500 0.000
Br 0.000 0.000 0.500
Br 0.000 0.500 0.000
Br 0.500 0.000 0.000
Br 0.500 0.500 0.500

Calculated values
- energy relative to the lowest polymorph listed for this composition (meV per atom) = 920
- E_form (uncorrected) (eV per atom) = 1.06
- symmetry = Fm-3m
- calculated total energy (eV per atom) = -3.56



Entry 11:
DFT (GGA-PBE) results for a relaxed LiWBr2 crystal.

Lattice parameters (Å, degrees): 8.062 3.227 5.944 90.00 100.45 90.00
Positions (direct):
Li 0.000 0.000 0.000
Li 0.500 0.500 0.000
W 0.000 0.500 0.500
W 0.500 0.000 0.500
Br 0.237 0.000 0.727
Br 0.263 0.500 0.273
Br 0.737 0.500 0.727
Br 0.763 0.000 0.273

Calculated values
- energy relative to the lowest polymorph listed for this composition (meV per atom) = 242
- E_form (uncorrected) (eV per atom) = 0.28
- symmetry = C2/m
- calculated total energy (eV per atom) = -4.27



Entry 12:
DFT (GGA-PBE) results for a relaxed Li4WBr crystal.

Lattice parameters (Å, degrees): 5.386 5.386 5.386 60.00 60.00 60.00
Positions (direct):
Li 0.122 0.122 0.122
Li 0.122 0.122 0.633
Li 0.122 0.633 0.122
Li 0.633 0.122 0.122
W 0.750 0.750 0.750
Br 0.500 0.500 0.500

Calculated values
- E_form (uncorrected) (eV per atom) = 0.67
- symmetry = F-43m
- calculated total energy (eV per atom) = -3.05



Entry 13:
DFT (GGA-PBE) results for a relaxed Li2WBr crystal.

Lattice parameters (Å, degrees): 2.987 4.656 4.705 90.00 90.00 90.00
Positions (direct):
Li 0.000 0.000 0.000
Li 0.500 0.000 0.500
W 0.000 0.500 0.500
Br 0.500 0.500 0.000

Calculated values
- energy relative to the lowest polymorph listed for this composition (meV per atom) = 533
- E_form (uncorrected) (eV per atom) = 0.67
- symmetry = Pmmm
- calculated total energy (eV per atom) = -3.94



Entry 14:
DFT (GGA-PBE) results for a relaxed Li2WBr crystal.

Lattice parameters (Å, degrees): 3.131 5.125 9.200 90.00 90.00 90.00
Positions (direct):
Li 0.000 0.000 0.000
Li 0.000 0.500 0.281
Li 0.500 0.000 0.281
Li 0.500 0.500 0.000
W 0.000 0.000 0.536
W 0.500 0.500 0.536
Br 0.000 0.500 0.777
Br 0.500 0.000 0.777

Calculated values
- energy relative to the lowest polymorph listed for this composition (meV per atom) = 362
- E_form (uncorrected) (eV per atom) = 0.50
- symmetry = Cmm2
- calculated total energy (eV per atom) = -4.11



Entry 15:
DFT (GGA-PBE) results for a relaxed LiW2Br crystal.

Lattice parameters (Å, degrees): 4.657 4.657 2.852 90.00 90.00 90.00
Positions (direct):
Li 0.000 0.000 0.000
W 0.000 0.500 0.500
W 0.500 0.000 0.500
Br 0.500 0.500 0.000

Calculated values
- energy relative to the lowest polymorph listed for this composition (meV per atom) = 1164
- E_form (uncorrected) (eV per atom) = 1.39
- symmetry = P4/mmm
- calculated total energy (eV per atom) = -5.99



Entry 16:
DFT (GGA-PBE) results for a relaxed Li2WBr crystal.

Lattice parameters (Å, degrees): 6.367 6.367 6.367 90.00 90.00 90.00
Positions (direct):
Li 0.000 0.000 0.000
Li 0.000 0.500 0.500
Li 0.250 0.250 0.250
Li 0.250 0.750 0.750
Li 0.500 0.000 0.500
Li 0.500 0.500 0.000
Li 0.750 0.250 0.750
Li 0.750 0.750 0.250
W 0.250 0.250 0.750
W 0.250 0.750 0.250
W 0.750 0.250 0.250
W 0.750 0.750 0.750
Br 0.000 0.000 0.500
Br 0.000 0.500 0.000
Br 0.500 0.000 0.000
Br 0.500 0.500 0.500

Calculated values
- energy relative to the lowest polymorph listed for this composition (meV per atom) = 846
- E_form (uncorrected) (eV per atom) = 0.98
- symmetry = F-43m
- calculated total energy (eV per atom) = -3.63



Entry 17:
DFT (GGA-PBE) results for a relaxed LiWBr2 crystal.

Lattice parameters (Å, degrees): 3.379 4.210 7.264 90.00 90.00 90.00
Positions (direct):
Li 0.000 0.000 0.000
W 0.500 0.000 0.500
Br 0.000 0.500 0.500
Br 0.500 0.500 0.000

Calculated values
- energy relative to the lowest polymorph listed for this composition (meV per atom) = 429
- E_form (uncorrected) (eV per atom) = 0.47
- symmetry = Pmmm
- calculated total energy (eV per atom) = -4.08



Entry 18:
DFT (GGA-PBE) results for a relaxed LiWBr4 crystal.

Lattice parameters (Å, degrees): 6.725 7.138 7.974 65.65 78.96 89.72
Positions (direct):
Li 0.058 0.403 0.213
Li 0.942 0.597 0.787
W 0.500 0.183 0.000
W 0.500 0.817 0.000
Br 0.239 0.627 0.308
Br 0.240 0.092 0.308
Br 0.266 0.077 0.836
Br 0.305 0.559 0.873
Br 0.695 0.441 0.127
Br 0.734 0.923 0.164
Br 0.760 0.908 0.692
Br 0.761 0.373 0.692

Calculated values
- energy relative to the lowest polymorph listed for this composition (meV per atom) = 0
- E_form (uncorrected) (eV per atom) = -0.67
- symmetry = P-1
- calculated total energy (eV per atom) = -4.26



Entry 19:
DFT (GGA-PBE) results for a relaxed LiW2Br crystal.

Lattice parameters (Å, degrees): 5.711 3.214 8.763 90.00 106.80 90.00
Positions (direct):
Li 0.000 0.000 0.000
Li 0.500 0.500 0.000
W 0.081 0.500 0.507
W 0.320 0.500 0.308
W 0.581 0.000 0.507
W 0.820 0.000 0.308
Br 0.229 0.000 0.790
Br 0.729 0.500 0.790

Calculated values
- energy relative to the lowest polymorph listed for this composition (meV per atom) = 71
- E_form (uncorrected) (eV per atom) = 0.30
- symmetry = Cm
- calculated total energy (eV per atom) = -7.08



Entry 20:
DFT (GGA-PBE) results for a relaxed LiWBr2 crystal.

Lattice parameters (Å, degrees): 3.194 6.016 8.149 90.00 90.00 90.00
Positions (direct):
Li 0.000 0.000 0.000
Li 0.500 0.500 0.000
W 0.000 0.000 0.500
W 0.500 0.500 0.500
Br 0.000 0.500 0.241
Br 0.000 0.500 0.759
Br 0.500 0.000 0.241
Br 0.500 0.000 0.759

Calculated values
- energy relative to the lowest polymorph listed for this composition (meV per atom) = 263
- E_form (uncorrected) (eV per atom) = 0.30
- symmetry = Cmmm
- calculated total energy (eV per atom) = -4.25